Tb10Sm4Sc PBE optimized geometry; E_form = 0.24 eV per atom
1.0
6.9955 0.0000 3.1588
3.4978 8.0435 1.5794
0.1876 0.0000 8.9102
Tb Sm Sc
10 4 1
direct
0.2500 0.5000 0.5000 Tb
0.7146 0.2083 0.7917 Tb
0.0772 0.2083 0.2083 Tb
0.4937 0.7917 0.7917 Tb
0.7146 0.7917 0.2083 Tb
0.2854 0.7917 0.2083 Tb
0.7500 0.5000 0.5000 Tb
0.2854 0.2083 0.7917 Tb
0.5063 0.2083 0.2083 Tb
0.9228 0.7917 0.7917 Tb
0.2312 0.9999 0.5376 Sm
0.7688 0.4624 0.9999 Sm
0.2312 0.5376 0.0001 Sm
0.7688 0.0001 0.4624 Sm
0.0000 0.0000 0.0000 Sc